## LaPm2Eu (PBE-GGA)

Data for an optimized crystal structure of LaPm2Eu. Values from VASP.

## Properties
Energy above the lowest structure with this stoichiometry, meV per atom: 23
Space group: P4/mmm
Crystal system: tetragonal

Cell and atoms, written as Quantum ESPRESSO input:
```
&SYSTEM
  ibrav = 0, nat = 4, ntyp = 3
/
ATOMIC_SPECIES
Pm 145.00 Pm.upf
Eu 151.96 Eu.upf
La 138.91 La.upf
ATOMIC_POSITIONS crystal
Pm 0.000 0.000 0.500
Eu 0.500 0.500 0.500
La 0.500 0.000 0.000
Pm 0.000 0.500 0.000
CELL_PARAMETERS angstrom
-4.945 0.731 1.675
-0.125 -4.928 1.780
1.813 1.630 4.640
```

## LaPmEu2 (PBE-GGA)

Data for an optimized crystal structure of LaPmEu2. Values from VASP.

## Properties
Energy above the lowest structure with this stoichiometry, meV per atom: 24
Space group: P4/mmm
Crystal system: tetragonal

Cell and atoms, written as Quantum ESPRESSO input:
```
&SYSTEM
  ibrav = 0, nat = 4, ntyp = 3
/
ATOMIC_SPECIES
Eu 151.96 Eu.upf
Pm 145.00 Pm.upf
La 138.91 La.upf
ATOMIC_POSITIONS crystal
Eu 0.000 0.000 0.246
Pm 0.500 0.500 0.000
Eu 0.000 0.000 0.754
La 0.500 0.500 0.500
CELL_PARAMETERS angstrom
3.756 0.000 0.000
0.000 3.756 0.000
0.000 0.000 10.745
```

Magnetization for the records above, in order: 7.30 14.88 μB per formula unit
Formation energy from the elements for the records above, in order: 0.068 0.095 eV per atom